Entry 1:
The following is a DFT calculation (PBE-GGA) of crystalline TlReSe2 at its relaxed geometry.

## Properties
- DFT total energy: -5.0486 eV/atom
- DOS(E_F): 3.0 states/eV per cell
- Energy relative to the elements, uncorrected: 0.3973 eV/atom
- Calculated density: 10.40 g/cm³
- ΔE to the lowest computed polymorph: 394.3 meV per atom

abc: 3.042 3.042 9.470
angles: 90.00 90.00 90.00
Element x y z (fractional)
1 Tl 0.000 0.000 0.000
2 Re 0.500 0.500 0.246
3 Se 0.000 0.000 0.389
4 Se 0.500 0.500 0.718

Entry 2:
The following is a DFT calculation (PBE-GGA) of crystalline Ac3Cu2Ni at its relaxed geometry.

## Properties
- DFT total energy: -4.5529 eV/atom
- DOS(E_F): 20.9 states/eV per cell
- E_form: -0.1697 eV/atom
- Calculated density: 8.63 g/cm³

abc: 12.308 4.220 12.843
angles: 90.00 90.00 90.00
Element x y z (fractional)
1 Ac 0.052 0.250 0.130
2 Ac 0.120 0.750 0.555
3 Ac 0.221 0.250 0.802
4 Ac 0.279 0.750 0.302
5 Ac 0.380 0.250 0.055
6 Ac 0.448 0.750 0.630
7 Ac 0.552 0.250 0.370
8 Ac 0.620 0.750 0.945
9 Ac 0.721 0.250 0.698
10 Ac 0.779 0.750 0.198
11 Ac 0.880 0.250 0.445
12 Ac 0.948 0.750 0.870
13 Cu 0.026 0.750 0.317
14 Cu 0.197 0.750 0.988
15 Cu 0.303 0.250 0.488
16 Cu 0.474 0.250 0.817
17 Cu 0.526 0.750 0.183
18 Cu 0.697 0.750 0.512
19 Cu 0.803 0.250 0.012
20 Cu 0.974 0.250 0.683
21 Ni 0.122 0.250 0.375
22 Ni 0.378 0.750 0.875
23 Ni 0.622 0.250 0.125
24 Ni 0.878 0.750 0.625

Entry 3:
The following is a DFT calculation (PBE-GGA) of crystalline SeBr2OF at its relaxed geometry.

## Properties
- DFT total energy: -2.1997 eV/atom
- DOS(E_F): 6.0 states/eV per cell
- Energy relative to the elements, uncorrected: 0.5323 eV/atom
- Calculated density: 4.59 g/cm³
- ΔE to the lowest computed polymorph: 0.0 meV per atom

abc: 4.946 4.946 4.050
angles: 90.00 90.00 90.00
Element x y z (fractional)
1 Se 0.000 0.000 0.000
2 Br 0.000 0.500 0.500
3 Br 0.500 0.000 0.500
4 O 0.000 0.000 0.500
5 F 0.500 0.500 0.000

Entry 4:
The following is a DFT calculation (PBE-GGA) of crystalline Li2MnW at its relaxed geometry.

## Properties
- DFT total energy: -5.4395 eV/atom
- DOS(E_F): 13.8 states/eV per cell
- E_form: 1.0481 eV/atom
- Calculated density: 8.70 g/cm³
- ΔE to the lowest computed polymorph: 741.5 meV per atom

abc: 5.779 5.779 5.779
angles: 90.00 90.00 90.00
Element x y z (fractional)
1 Li 0.250 0.250 0.250
2 Li 0.250 0.250 0.750
3 Li 0.250 0.750 0.250
4 Li 0.250 0.750 0.750
5 Li 0.750 0.250 0.250
6 Li 0.750 0.250 0.750
7 Li 0.750 0.750 0.250
8 Li 0.750 0.750 0.750
9 Mn 0.000 0.000 0.000
10 Mn 0.000 0.500 0.500
11 Mn 0.500 0.000 0.500
12 Mn 0.500 0.500 0.000
13 W 0.000 0.000 0.500
14 W 0.000 0.500 0.000
15 W 0.500 0.000 0.000
16 W 0.500 0.500 0.500